(1)
# PBE-GGA PuCuTeO, optimized geometry
data_PuCuTeO
_chemical_formula_sum 'Pu2 Cu2 Te2 O2'
_space_group_name_H-M_alt 'P 1'
_space_group_IT_number 1
_cell_length_a 4.032
_cell_length_b 4.032
_cell_length_c 9.450
_cell_angle_alpha 90.00
_cell_angle_beta 90.00
_cell_angle_gamma 90.00
loop_
_space_group_symop_operation_xyz
'x,y,z'
loop_
_atom_site_label
_atom_site_fract_x
_atom_site_fract_y
_atom_site_fract_z
Pu1 0.250 0.250 0.122
Pu2 0.750 0.750 0.878
Cu1 0.250 0.750 0.500
Cu2 0.750 0.250 0.500
Te1 0.250 0.250 0.684
Te2 0.750 0.750 0.316
O1 0.250 0.750 0.000
O2 0.750 0.250 0.000
# Uncorrected formation energy in meV per atom: -1546
# Calculated volume in Å³ per cell: 154



(2)
# PBE-GGA PuTl3Cu2O9, optimized geometry
data_PuTl3Cu2O9
_chemical_formula_sum 'Pu1 Tl3 Cu2 O9'
_space_group_name_H-M_alt 'P 1'
_space_group_IT_number 1
_cell_length_a 5.654
_cell_length_b 5.654
_cell_length_c 7.113
_cell_angle_alpha 90.00
_cell_angle_beta 90.00
_cell_angle_gamma 120.00
loop_
_space_group_symop_operation_xyz
'x,y,z'
loop_
_atom_site_label
_atom_site_fract_x
_atom_site_fract_y
_atom_site_fract_z
Pu1 0.000 0.000 0.000
Tl1 0.000 0.000 0.500
Tl2 0.333 0.667 0.227
Tl3 0.667 0.333 0.773
Cu1 0.333 0.667 0.663
Cu2 0.667 0.333 0.337
O1 0.000 0.500 0.500
O2 0.166 0.333 0.835
O3 0.166 0.834 0.835
O4 0.333 0.166 0.165
O5 0.500 0.000 0.500
O6 0.500 0.500 0.500
O7 0.667 0.834 0.835
O8 0.834 0.166 0.165
O9 0.834 0.667 0.165
# Uncorrected formation energy in meV per atom: -942
# Calculated volume in Å³ per cell: 197



(3)
# PBE-GGA PuTlCuO5, optimized geometry
data_PuTlCuO5
_chemical_formula_sum 'Pu2 Tl2 Cu2 O10'
_space_group_name_H-M_alt 'P 1'
_space_group_IT_number 1
_cell_length_a 6.641
_cell_length_b 6.641
_cell_length_c 6.270
_cell_angle_alpha 107.89
_cell_angle_beta 107.89
_cell_angle_gamma 100.30
loop_
_space_group_symop_operation_xyz
'x,y,z'
loop_
_atom_site_label
_atom_site_fract_x
_atom_site_fract_y
_atom_site_fract_z
Pu1 0.000 0.500 0.000
Pu2 0.500 0.000 0.500
Tl1 0.093 0.907 0.750
Tl2 0.907 0.093 0.250
Cu1 0.449 0.551 0.750
Cu2 0.551 0.449 0.250
O1 0.167 0.833 0.250
O2 0.170 0.533 0.793
O3 0.236 0.399 0.181
O4 0.399 0.236 0.681
O5 0.467 0.830 0.707
O6 0.533 0.170 0.293
O7 0.601 0.764 0.319
O8 0.764 0.601 0.819
O9 0.830 0.467 0.207
O10 0.833 0.167 0.750
# Uncorrected formation energy in meV per atom: -1517
# Calculated volume in Å³ per cell: 239



(4)
# PBE-GGA Pu3Tl2CuO12, optimized geometry
data_Pu3Tl2CuO12
_chemical_formula_sum 'Pu3 Tl2 Cu1 O12'
_space_group_name_H-M_alt 'P 1'
_space_group_IT_number 1
_cell_length_a 7.371
_cell_length_b 7.371
_cell_length_c 7.371
_cell_angle_alpha 64.40
_cell_angle_beta 64.40
_cell_angle_gamma 64.40
loop_
_space_group_symop_operation_xyz
'x,y,z'
loop_
_atom_site_label
_atom_site_fract_x
_atom_site_fract_y
_atom_site_fract_z
Pu1 0.000 0.500 0.500
Pu2 0.500 0.000 0.500
Pu3 0.500 0.500 0.000
Tl1 0.120 0.120 0.120
Tl2 0.880 0.880 0.880
Cu1 0.500 0.500 0.500
O1 0.178 0.178 0.569
O2 0.178 0.569 0.178
O3 0.180 0.565 0.565
O4 0.431 0.822 0.822
O5 0.435 0.435 0.820
O6 0.435 0.820 0.435
O7 0.565 0.180 0.565
O8 0.565 0.565 0.180
O9 0.569 0.178 0.178
O10 0.820 0.435 0.435
O11 0.822 0.431 0.822
O12 0.822 0.822 0.431
# Uncorrected formation energy in meV per atom: -1880
# Calculated volume in Å³ per cell: 311



Copy entry 2 word for word.
# PBE-GGA PuTl3Cu2O9, optimized geometry
data_PuTl3Cu2O9
_chemical_formula_sum 'Pu1 Tl3 Cu2 O9'
_space_group_name_H-M_alt 'P 1'
_space_group_IT_number 1
_cell_length_a 5.654
_cell_length_b 5.654
_cell_length_c 7.113
_cell_angle_alpha 90.00
_cell_angle_beta 90.00
_cell_angle_gamma 120.00
loop_
_space_group_symop_operation_xyz
'x,y,z'
loop_
_atom_site_label
_atom_site_fract_x
_atom_site_fract_y
_atom_site_fract_z
Pu1 0.000 0.000 0.000
Tl1 0.000 0.000 0.500
Tl2 0.333 0.667 0.227
Tl3 0.667 0.333 0.773
Cu1 0.333 0.667 0.663
Cu2 0.667 0.333 0.337
O1 0.000 0.500 0.500
O2 0.166 0.333 0.835
O3 0.166 0.834 0.835
O4 0.333 0.166 0.165
O5 0.500 0.000 0.500
O6 0.500 0.500 0.500
O7 0.667 0.834 0.835
O8 0.834 0.166 0.165
O9 0.834 0.667 0.165
# Uncorrected formation energy in meV per atom: -942
# Calculated volume in Å³ per cell: 197